(1)
The following is a DFT calculation (PBE) of a relaxed BaReSn crystal.

Calculated values
**Symmetry**: F-43m, No. 216
**Raw total energy**: -5.189 eV per atom

POSCAR file:
```
BaReSn
1.0
0.000 3.477 3.477
3.477 0.000 3.477
3.477 3.477 0.000
Ba Re Sn
1 1 1
Direct
0.000 0.000 0.000
0.250 0.250 0.250
0.500 0.500 0.500
```

(2)
The following is a DFT calculation (PBE) of a relaxed BaReSn crystal.

Calculated values
**Symmetry**: P4/nmm, No. 129
**Raw total energy**: -5.506 eV per atom

POSCAR file:
```
BaReSn
1.0
4.660 0.000 0.000
0.000 4.660 0.000
0.000 0.000 7.878
Ba Re Sn
2 2 2
Direct
0.250 0.250 0.156
0.750 0.750 0.844
0.250 0.250 0.690
0.750 0.750 0.310
0.250 0.750 0.500
0.750 0.250 0.500
```

(3)
The following is a DFT calculation (PBE) of a relaxed Ba5Re5Sn crystal.

Calculated values
**Symmetry**: P-6m2, No. 187
**Raw total energy**: -6.600 eV per atom

POSCAR file:
```
Ba5Re5Sn
1.0
6.004 0.000 0.000
-3.002 5.200 0.000
0.000 0.000 11.103
Ba Re Sn
5 5 1
Direct
0.000 0.000 0.000
0.333 0.667 0.196
0.333 0.667 0.804
0.667 0.333 0.325
0.667 0.333 0.675
0.000 0.000 0.367
0.000 0.000 0.633
0.190 0.380 0.500
0.190 0.810 0.500
0.620 0.810 0.500
0.667 0.333 0.000
```

(4)
The following is a DFT calculation (PBE) of a relaxed BaTbRe crystal.

Calculated values
**Symmetry**: F-43m, No. 216
**Raw total energy**: -4.513 eV per atom

POSCAR file:
```
BaTbRe
1.0
0.000 3.492 3.492
3.492 0.000 3.492
3.492 3.492 0.000
Ba Tb Re
1 1 1
Direct
0.000 0.000 0.000
0.250 0.250 0.250
0.750 0.750 0.750
```

(5)
The following is a DFT calculation (PBE) of a relaxed BaThRe crystal.

Calculated values
**Symmetry**: F-43m, No. 216
**Raw total energy**: -5.403 eV per atom

POSCAR file:
```
BaThRe
1.0
0.000 3.520 3.520
3.520 0.000 3.520
3.520 3.520 0.000
Ba Th Re
1 1 1
Direct
0.000 0.000 0.000
0.250 0.250 0.250
0.750 0.750 0.750
```

(6)
The following is a DFT calculation (PBE) of a relaxed BaReW crystal.

Calculated values
**Symmetry**: F-43m, No. 216
**ΔE to the lowest computed polymorph**: 1484 meV per atom

POSCAR file:
```
BaReW
1.0
0.000 3.262 3.262
3.262 0.000 3.262
3.262 3.262 0.000
Ba Re W
1 1 1
Direct
0.000 0.000 0.000
0.750 0.750 0.750
0.250 0.250 0.250
```

The evaluated total moment for the records listed, in turn: 0.31 0.01 0.01 0.26 0.19 0.01 μB/atom.